A plane-wave DFT calculation with PBE was carried out for a geometry-optimized Nd3CuNi3 structure.

```
data_Nd3CuNi3
_cell_length_a 4.202
_cell_length_b 10.103
_cell_length_c 13.255
_cell_angle_alpha 90.00
_cell_angle_beta 90.00
_cell_angle_gamma 90.00
_symmetry_space_group_name_H-M 'C m c m'
_symmetry_Int_Tables_number 63
_symmetry_space_group_name_Hall '-C 2c 2'
loop_
_atom_site_label
_atom_site_fract_x
_atom_site_fract_y
_atom_site_fract_z
Nd1 0.000 0.006 0.250
Nd2 0.000 0.288 0.103
Cu1 0.000 0.000 0.000
Ni1 0.000 0.290 0.750
Ni2 0.000 0.426 0.587
```

Properties
ΔH_f (0 K): -0.299 eV per atom
Density of states at the Fermi level: 19.71 states/eV/cell